Record 1
A geometry-optimized PtSCl structure. Source: Alexandria via LeMat-Bulk, functional PBE.

Its total energy is -12.50 eV/f.u. The value obtained for the uncorrected formation energy is -0.160 eV per atom.

The structure belongs to space group P3m1 (No. 156); the cell edges are 3.6161, 3.6161 and 5.4938 Å and the angles 90.00°, 90.00° and 120.00°. The asymmetric unit holds Pt at (0.0000, 0.0000, 0.0000), S at (0.6667, 0.3333, 0.1986) and Cl at (0.3333, 0.6667, 0.7040).

=====

Record 2
A geometry-optimized PtSCl6 structure. Source: Alexandria via LeMat-Bulk, functional PBE.

Its total energy is -22.99 eV/f.u. The value obtained for the uncorrected formation energy is -0.217 eV per atom.

The structure belongs to space group C2 (No. 5); the cell edges are 14.3026, 8.8061 and 8.1922 Å and the angles 90.00°, 116.57° and 90.00°. The asymmetric unit holds Pt at (0.2499, 0.0000, 0.0020), S at (0.2179, 0.0174, 0.4547), Cl at (0.0925, 0.9393, 0.7492), Cl at (0.0962, 0.5535, 0.7359), Cl at (0.1437, 0.2157, 0.4341), Cl at (0.1521, 0.9515, 0.1748), Cl at (0.1640, 0.5371, 0.1789) and Cl at (0.1750, 0.2490, 0.9276).

=====

Record 3
A geometry-optimized PtS2Cl structure. Source: Alexandria via LeMat-Bulk, functional PBE.

Its total energy is -16.85 eV/f.u. The value obtained for the uncorrected formation energy is -0.178 eV per atom.

The structure belongs to space group R-3m (No. 166, hexagonal axes); the cell edges are 3.7082, 3.7082 and 21.7135 Å and the angles 90.00°, 90.00° and 120.00°. The asymmetric unit holds Pt at (0.0000, 0.0000, 0.0000), S at (0.0000, 0.0000, 0.3873) and Cl at (0.0000, 0.0000, 0.5000).